--- i ---
# OsAu, relaxed, DFT PBE-GGA
# Space group   Cmcm (63)
data_OsAu
_cell_length_a 2.7668
_cell_length_b 6.9258
_cell_length_c 3.6870
_cell_angle_alpha 90.00
_cell_angle_beta 90.00
_cell_angle_gamma 78.48
_space_group_name_H-M_alt 'P 1'
_space_group_IT_number 1
_space_group_name_Hall 'P 1'
loop_
_atom_site_label
_atom_site_fract_x
_atom_site_fract_y
_atom_site_fract_z
Au1 0.4235 0.1529 0.7500
Au2 0.5765 0.8471 0.2500
Os1 0.2088 0.5825 0.7500
Os2 0.7912 0.4175 0.2500

***

--- ii ---
# OsAu, relaxed, DFT PBE-GGA
# Space group   Pmmn (59)
data_OsAu
_cell_length_a 2.7710
_cell_length_b 4.5140
_cell_length_c 5.1101
_cell_angle_alpha 90.00
_cell_angle_beta 90.00
_cell_angle_gamma 90.00
_space_group_name_H-M_alt 'P 1'
_space_group_IT_number 1
_space_group_name_Hall 'P 1'
loop_
_atom_site_label
_atom_site_fract_x
_atom_site_fract_y
_atom_site_fract_z
Au1 0.0000 0.0000 0.0084
Au2 0.5000 0.5000 0.8249
Os1 0.5000 0.0000 0.4899
Os2 0.0000 0.5000 0.3434

***

i is favored, and the nearest alternative lies 10.4 kJ/mol of atoms above it.

***

--- i ---
# CrCdBr2, relaxed, DFT PBE-GGA
# Space group   R3m (160)
data_CrCdBr2
_cell_length_a 9.2060
_cell_length_b 9.2060
_cell_length_c 9.2060
_cell_angle_alpha 23.87
_cell_angle_beta 23.87
_cell_angle_gamma 23.87
_space_group_name_H-M_alt 'P 1'
_space_group_IT_number 1
_space_group_name_Hall 'P 1'
loop_
_atom_site_label
_atom_site_fract_x
_atom_site_fract_y
_atom_site_fract_z
Cr1 0.7505 0.7505 0.7505
Br1 0.2254 0.2254 0.2254
Br2 0.0307 0.0307 0.0307
Cd1 0.4933 0.4933 0.4933

***

--- ii ---
# CrCdBr2, relaxed, DFT PBE-GGA
# Space group   Pm (6)
data_CrCdBr2
_cell_length_a 3.6567
_cell_length_b 4.3246
_cell_length_c 7.7878
_cell_angle_alpha 73.59
_cell_angle_beta 90.00
_cell_angle_gamma 90.00
_space_group_name_H-M_alt 'P 1'
_space_group_IT_number 1
_space_group_name_Hall 'P 1'
loop_
_atom_site_label
_atom_site_fract_x
_atom_site_fract_y
_atom_site_fract_z
Cr1 0.5000 0.9749 0.6783
Br1 0.0000 0.8507 0.9187
Br2 0.5000 0.1392 0.3456
Cd1 0.0000 0.5352 0.5573

***

i is favored, and the nearest alternative lies 3.3 kJ/mol of atoms above it.

***

--- i ---
# InSi2Sb, relaxed, DFT PBE-GGA
# Space group   P4/mmm (123)
data_InSi2Sb
_cell_length_a 3.6666
_cell_length_b 3.6666
_cell_length_c 6.7535
_cell_angle_alpha 90.00
_cell_angle_beta 90.00
_cell_angle_gamma 90.00
_space_group_name_H-M_alt 'P 1'
_space_group_IT_number 1
_space_group_name_Hall 'P 1'
loop_
_atom_site_label
_atom_site_fract_x
_atom_site_fract_y
_atom_site_fract_z
Si1 0.0000 0.0000 0.9477
Si2 0.0000 0.0000 0.5523
In1 0.5000 0.5000 0.2500
Sb1 0.5000 0.5000 0.7500

***

--- ii ---
# InSi2Sb, relaxed, DFT PBE-GGA
# Space group   C2/m (12)
data_InSi2Sb
_cell_length_a 3.9898
_cell_length_b 3.9898
_cell_length_c 7.0009
_cell_angle_alpha 73.36
_cell_angle_beta 73.36
_cell_angle_gamma 59.45
_space_group_name_H-M_alt 'P 1'
_space_group_IT_number 1
_space_group_name_Hall 'P 1'
loop_
_atom_site_label
_atom_site_fract_x
_atom_site_fract_y
_atom_site_fract_z
Si1 0.4981 0.4981 0.5062
Si2 0.0019 0.0019 0.9938
In1 0.2500 0.2500 0.2500
Sb1 0.7500 0.7500 0.7500

***

ii is favored, and the nearest alternative lies 10.6 kJ/mol of atoms above it.

***

--- i ---
# B2C, relaxed, DFT PBE-GGA
# Space group   Pm (6)
data_B2C
_cell_length_a 2.6469
_cell_length_b 4.7789
_cell_length_c 8.3947
_cell_angle_alpha 90.35
_cell_angle_beta 90.00
_cell_angle_gamma 90.00
_space_group_name_H-M_alt 'P 1'
_space_group_IT_number 1
_space_group_name_Hall 'P 1'
loop_
_atom_site_label
_atom_site_fract_x
_atom_site_fract_y
_atom_site_fract_z
C1 0.0000 0.6712 0.0282
C2 0.0000 0.3293 0.5403
C3 0.5000 0.5192 0.0487
C4 0.5000 0.8300 0.5384
B1 0.0000 0.9852 0.0257
B2 0.5000 0.1958 0.0310
B3 0.5000 0.1589 0.5544
B4 0.5000 0.4965 0.2446
B5 0.0000 0.6596 0.5527
B6 0.0000 0.3208 0.3519
B7 0.0000 0.0019 0.2338
B8 0.5000 0.8316 0.3502

***

--- ii ---
# B2C, relaxed, DFT PBE-GGA
# Space group   Pmma (51)
data_B2C
_cell_length_a 2.2888
_cell_length_b 2.5749
_cell_length_c 13.9708
_cell_angle_alpha 90.00
_cell_angle_beta 90.00
_cell_angle_gamma 90.00
_space_group_name_H-M_alt 'P 1'
_space_group_IT_number 1
_space_group_name_Hall 'P 1'
loop_
_atom_site_label
_atom_site_fract_x
_atom_site_fract_y
_atom_site_fract_z
B1 0.2500 0.0000 0.7596
B2 0.7500 0.0000 0.8601
B3 0.2500 0.5000 0.0491
B4 0.7500 0.5000 0.6061
B5 0.2500 0.0000 0.1399
B6 0.7500 0.0000 0.2404
B7 0.7500 0.5000 0.9509
B8 0.2500 0.5000 0.3939
C1 0.2500 0.5000 0.6928
C2 0.2500 0.0000 0.4687
C3 0.7500 0.5000 0.3072
C4 0.7500 0.0000 0.5313

***

i is favored, and the nearest alternative lies 2.8 kJ/mol of atoms above it.

***

--- i ---
# CsVS3, relaxed, DFT PBE-GGA
# Space group   P2_1/m (11)
data_CsVS3
_cell_length_a 3.8607
_cell_length_b 9.5576
_cell_length_c 10.2645
_cell_angle_alpha 90.00
_cell_angle_beta 124.73
_cell_angle_gamma 90.00
_space_group_name_H-M_alt 'P 1'
_space_group_IT_number 1
_space_group_name_Hall 'P 1'
loop_
_atom_site_label
_atom_site_fract_x
_atom_site_fract_y
_atom_site_fract_z
S1 0.7405 0.2500 0.4855
S2 0.2595 0.7500 0.5145
S3 0.1960 0.5732 0.8028
S4 0.8040 0.0732 0.1972
S5 0.1960 0.9268 0.8028
S6 0.8040 0.4268 0.1972
Cs1 0.1692 0.7500 0.1129
Cs2 0.8308 0.2500 0.8871
V1 0.0252 0.2500 0.3434
V2 0.9748 0.7500 0.6566

***

--- ii ---
# CsVS3, relaxed, DFT PBE-GGA
# Space group   Amm2 (38)
data_CsVS3
_cell_length_a 3.3777
_cell_length_b 8.6671
_cell_length_c 8.6671
_cell_angle_alpha 121.20
_cell_angle_beta 90.00
_cell_angle_gamma 90.00
_space_group_name_H-M_alt 'P 1'
_space_group_IT_number 1
_space_group_name_Hall 'P 1'
loop_
_atom_site_label
_atom_site_fract_x
_atom_site_fract_y
_atom_site_fract_z
S1 0.5000 0.6224 0.7380
S2 0.5000 0.2620 0.3776
S3 0.0000 0.2672 0.7328
V1 0.0000 0.4055 0.5945
Cs1 0.5000 0.0710 0.9290

***

i is favored, and the nearest alternative lies 16.2 kJ/mol of atoms above it.

***

--- i ---
# Al2ZnHg, relaxed, DFT PBE-GGA
# Space group   R3m (160)
data_Al2ZnHg
_cell_length_a 9.1981
_cell_length_b 9.1981
_cell_length_c 9.1981
_cell_angle_alpha 19.17
_cell_angle_beta 19.17
_cell_angle_gamma 19.17
_space_group_name_H-M_alt 'P 1'
_space_group_IT_number 1
_space_group_name_Hall 'P 1'
loop_
_atom_site_label
_atom_site_fract_x
_atom_site_fract_y
_atom_site_fract_z
Al1 0.0027 0.0027 0.0027
Al2 0.2539 0.2539 0.2539
Hg1 0.4984 0.4984 0.4984
Zn1 0.7450 0.7450 0.7450

***

--- ii ---
# Al2ZnHg, relaxed, DFT PBE-GGA
# Space group   P4/mmm (123)
data_Al2ZnHg
_cell_length_a 4.1229
_cell_length_b 4.1229
_cell_length_c 4.3246
_cell_angle_alpha 90.00
_cell_angle_beta 90.00
_cell_angle_gamma 90.00
_space_group_name_H-M_alt 'P 1'
_space_group_IT_number 1
_space_group_name_Hall 'P 1'
loop_
_atom_site_label
_atom_site_fract_x
_atom_site_fract_y
_atom_site_fract_z
Hg1 0.5000 0.0000 0.5000
Al1 0.0000 0.0000 0.0000
Al2 0.5000 0.5000 0.0000
Zn1 0.0000 0.5000 0.5000

***

i is favored, and the nearest alternative lies 5.5 kJ/mol of atoms above it.